Entry 1:
Compound: KFe2Au
Source: Alexandria
Functional: PBE
Structure: optimized geometry

Magnetic moment, μB per formula unit: 5.62
Uncorrected energy, eV/atom: -4.478
Space group: R-3m (166)
Energy relative to the elements, meV per atom: 847
V, Å³/cell: 74.1

Unit cell a=10.410 b=10.410 c=10.410 alpha=15.94 beta=15.94 gamma=15.94
Element x y z (fractional)
K 0.000 0.000 0.000
Fe 0.237 0.237 0.237
Fe 0.763 0.763 0.763
Au 0.500 0.500 0.500


Entry 2:
Compound: Na2Pt2Pb
Source: Alexandria
Functional: PBE
Structure: optimized geometry

Magnetic moment, μB per formula unit: 0.00
Uncorrected energy, eV/atom: -3.958
Space group: C2/c (15)
Energy relative to the elements, meV per atom: -273
V, Å³/cell: 232.2

Unit cell a=5.795 b=5.795 c=8.271 alpha=102.75 beta=102.75 gamma=59.79
Element x y z (fractional)
Na 0.010 0.287 0.148
Na 0.287 0.010 0.648
Na 0.713 0.990 0.352
Na 0.990 0.713 0.852
Pt 0.215 0.505 0.492
Pt 0.495 0.785 0.008
Pt 0.505 0.215 0.992
Pt 0.785 0.495 0.508
Pb 0.371 0.629 0.250
Pb 0.629 0.371 0.750


Entry 3:
Compound: CeAl5Cu3
Source: Alexandria
Functional: PBE
Structure: optimized geometry

Magnetic moment, μB per formula unit: 0.93
Uncorrected energy, eV/atom: -4.371
Space group: Cmcm (63)
Energy relative to the elements, meV per atom: -267
V, Å³/cell: 310.8

Unit cell a=6.594 b=6.594 c=12.517 alpha=90.00 beta=90.00 gamma=145.17
Element x y z (fractional)
Ce 0.159 0.841 0.750
Ce 0.841 0.159 0.250
Al 0.000 0.000 0.000
Al 0.000 0.000 0.500
Al 0.199 0.801 0.066
Al 0.199 0.801 0.434
Al 0.444 0.556 0.649
Al 0.444 0.556 0.851
Al 0.556 0.444 0.149
Al 0.556 0.444 0.351
Al 0.801 0.199 0.566
Al 0.801 0.199 0.934
Cu 0.129 0.871 0.250
Cu 0.388 0.612 0.046
Cu 0.388 0.612 0.454
Cu 0.612 0.388 0.546
Cu 0.612 0.388 0.954
Cu 0.871 0.129 0.750


Entry 4:
Compound: Ba2MgTa
Source: Alexandria
Functional: PBE
Structure: optimized geometry

Magnetic moment, μB per formula unit: 0.00
Uncorrected energy, eV/atom: -3.545
Space group: Pm (6)
Energy relative to the elements, meV per atom: 779
V, Å³/cell: 133.4

Unit cell a=3.473 b=5.409 c=7.294 alpha=90.00 beta=103.30 gamma=90.00
Element x y z (fractional)
Ba 0.000 0.000 0.000
Ba 0.303 0.500 0.629
Mg 0.607 0.500 0.220
Ta 0.701 0.000 0.421


Entry 5:
Compound: LiHo2USe4
Source: Alexandria
Functional: PBE
Structure: optimized geometry

Magnetic moment, μB per formula unit: 3.11
Uncorrected energy, eV/atom: -6.037
E_form (uncorrected), eV per atom: -1.5004
Space group: P2/m (10)
V, Å³/cell: 187.6

Unit cell a=7.016 b=4.016 c=7.048 alpha=90.00 beta=109.12 gamma=90.00
Element x y z (fractional)
Li 0.000 0.000 0.000
Ho 0.500 0.000 0.500
Ho 0.500 0.500 0.000
U 0.000 0.500 0.500
Se 0.246 0.500 0.243
Se 0.250 0.000 0.758
Se 0.750 0.000 0.242
Se 0.754 0.500 0.757


Entry 6:
Compound: Sr2CrCo
Source: Alexandria
Functional: PBE
Structure: optimized geometry

Magnetic moment, μB per formula unit: 4.20
Uncorrected energy, eV/atom: -4.446
Space group: P4mm (99)
Energy relative to the elements, meV per atom: 577
V, Å³/cell: 107.5

Unit cell a=3.486 b=3.486 c=8.848 alpha=90.00 beta=90.00 gamma=90.00
Element x y z (fractional)
Sr 0.000 0.000 0.000
Sr 0.500 0.500 0.410
Cr 0.500 0.500 0.744
Co 0.000 0.000 0.660


Entry 7:
Compound: LiSc4Rh
Source: Alexandria
Functional: PBE
Structure: optimized geometry

Magnetic moment, μB per formula unit: 0.00
Uncorrected energy, eV/atom: -5.378
Space group: F-43m (216)
Energy relative to the elements, meV per atom: 387
V, Å³/cell: 128.6

Unit cell a=5.666 b=5.666 c=5.666 alpha=60.00 beta=60.00 gamma=60.00
Element x y z (fractional)
Li 0.000 0.000 0.000
Sc 0.377 0.377 0.377
Sc 0.377 0.377 0.869
Sc 0.377 0.869 0.377
Sc 0.869 0.377 0.377
Rh 0.750 0.750 0.750


Entry 8:
Compound: Tb2Sm3
Source: Alexandria
Functional: PBE
Structure: optimized geometry

Magnetic moment, μB per formula unit: 0.00
Uncorrected energy, eV/atom: -4.540
Space group: Ibam (72)
Energy relative to the elements, meV per atom: 144
V, Å³/cell: 333.4

Unit cell a=9.331 b=9.331 c=9.331 alpha=139.16 beta=57.95 gamma=140.72
Element x y z (fractional)
Tb 0.192 0.137 0.329
Tb 0.308 0.637 0.944
Tb 0.692 0.363 0.056
Tb 0.808 0.863 0.671
Sm 0.096 0.607 0.703
Sm 0.250 0.250 0.000
Sm 0.404 0.107 0.511
Sm 0.596 0.893 0.489
Sm 0.750 0.750 0.000
Sm 0.904 0.393 0.297